Compound: HPbO3
Source: Alexandria
Functional: PBE-GGA
Structure: optimized geometry

abc: 4.2290 4.2290 4.2290
angles: 90.00 90.00 90.00
Closest atoms and distances in Å follow each position.
Atoms (fractional coordinates):
Pb 0.0000 0.0000 0.0000  6 O 2.11
H 0.5000 0.5000 0.5000  12 O 2.99
O 0.0000 0.5000 0.0000  2 Pb 2.11
O 0.0000 0.0000 0.5000  2 Pb 2.11
O 0.5000 0.0000 0.0000  2 Pb 2.11

Values from the calculation:
- E: -18.68 eV per formula unit